Material: CdNiBIr
Method: DFT, PBE
State: relaxed

Unit cell a=4.1657 b=4.1657 c=4.1657 alpha=60.00 beta=60.00 gamma=60.00
With the nearest neighbours (Å) after each atom.
Atoms (fractional coordinates):
Ir1 0.2500 0.2500 0.2500  4 Ni 2.55, 4 B 2.55
Cd1 0.7500 0.7500 0.7500  4 B 2.55, 4 Ni 2.55
Ni1 0.5000 0.5000 0.5000  4 Ir 2.55, 4 Cd 2.55
B1 0.0000 0.0000 0.0000  4 Cd 2.55, 4 Ir 2.55

Output
* symmetry: F-43m, No. 216
* VASP energy: -4.918 eV/atom

---

Material: KCdB
Method: DFT, PBE
State: relaxed

Unit cell a=4.7539 b=4.7539 c=4.7539 alpha=60.00 beta=60.00 gamma=60.00
With the nearest neighbours (Å) after each atom.
Atoms (fractional coordinates):
Cd1 0.2500 0.2500 0.2500  4 B 2.91
B1 0.0000 0.0000 0.0000  4 Cd 2.91, 4 K 2.91
K1 0.7500 0.7500 0.7500  4 B 2.91

Output
* energy relative to the lowest polymorph listed for this composition: 0.00 kJ per mole of atoms
* symmetry: F-43m, No. 216

---

Material: KCdB4
Method: DFT, PBE
State: relaxed

Unit cell a=3.1130 b=3.1130 c=8.8863 alpha=90.00 beta=90.00 gamma=120.00
With the nearest neighbours (Å) after each atom.
Atoms (fractional coordinates):
B1 0.6667 0.3333 0.2219  3 B 1.80
B2 0.3333 0.6667 0.7781  3 B 1.80
B3 0.6667 0.3333 0.7781  3 B 1.80
B4 0.3333 0.6667 0.2219  3 B 1.80
Cd1 0.0000 0.0000 0.0000  12 B 2.67
K1 0.0000 0.0000 0.5000  12 B 3.06, 6 K 3.11

Output
* energy relative to the lowest polymorph listed for this composition: 0.00 kJ per mole of atoms
* symmetry: P6/mmm, No. 191

---

Material: KCdB4
Method: DFT, PBE
State: relaxed

Unit cell a=5.7468 b=5.7468 c=5.7468 alpha=151.98 beta=120.14 gamma=67.37
With the nearest neighbours (Å) after each atom.
Atoms (fractional coordinates):
B1 0.0932 0.7436 0.3496  3 B 1.72-1.80
B2 0.6061 0.2564 0.3496  3 B 1.72-1.80
B3 0.3939 0.7436 0.6504  3 B 1.72-1.80
B4 0.9068 0.2564 0.6504  3 B 1.72-1.80
K1 0.5000 0.5000 0.0000  2 K 2.78, 12 B 2.95-3.07
Cd1 0.0000 0.0000 0.0000  2 Cd 2.78, 8 B 2.85

Output
* energy relative to the lowest polymorph listed for this composition: 7.55 kJ per mole of atoms
* symmetry: Immm, No. 71

---

Material: KCdB
Method: DFT, PBE
State: relaxed

Unit cell a=4.8926 b=4.8926 c=4.8926 alpha=60.00 beta=60.00 gamma=60.00
With the nearest neighbours (Å) after each atom.
Atoms (fractional coordinates):
Cd1 0.0000 0.0000 0.0000  4 K 3.00, 4 B 3.00
B1 0.2500 0.2500 0.2500  4 Cd 3.00
K1 0.7500 0.7500 0.7500  4 Cd 3.00

Output
* energy relative to the lowest polymorph listed for this composition: 21.53 kJ per mole of atoms
* symmetry: F-43m, No. 216

---

Material: K7Y2CdB15O30
Method: DFT, PBE
State: relaxed

Unit cell a=9.0667 b=9.0667 c=9.0667 alpha=93.29 beta=93.29 gamma=93.29
With the nearest neighbours (Å) after each atom.
Atoms (fractional coordinates):
O1 0.9707 0.2026 0.1633  1 B 1.34
O2 0.6051 0.2370 0.4160  2 B 1.38-1.48
O3 0.0293 0.8367 0.7974  1 B 1.34
O4 0.8738 0.2428 0.4003  2 B 1.39-1.48
O5 0.7630 0.3949 0.5840  2 B 1.38-1.48
O6 0.5997 0.7572 0.1262  2 B 1.39-1.48
O7 0.2885 0.8202 0.7930  2 B 1.40-1.41
O8 0.2459 0.1875 0.4593  1 B 1.34
O9 0.7541 0.5407 0.8125  1 B 1.34
O10 0.8125 0.7541 0.5407  1 B 1.34
O11 0.7974 0.0293 0.8367  1 B 1.34
O12 0.5840 0.7630 0.3949  2 B 1.38-1.48
O13 0.7115 0.2070 0.1798  2 B 1.40-1.41
O14 0.1798 0.7115 0.2070  2 B 1.40-1.41
O15 0.7572 0.1262 0.5997  2 B 1.39-1.48
O16 0.1875 0.4593 0.2459  1 B 1.34
O17 0.2070 0.1798 0.7115  2 B 1.40-1.41
O18 0.4593 0.2459 0.1875  1 B 1.34
O19 0.4003 0.8738 0.2428  2 B 1.39-1.48
O20 0.4160 0.6051 0.2370  2 B 1.38-1.48
O21 0.8202 0.7930 0.2885  2 B 1.40-1.41
O22 0.3949 0.5840 0.7630  2 B 1.38-1.48
O23 0.8367 0.7974 0.0293  1 B 1.34
O24 0.2026 0.1633 0.9707  1 B 1.34
O25 0.5407 0.8125 0.7541  1 B 1.34
O26 0.2370 0.4160 0.6051  2 B 1.38-1.48
O27 0.1262 0.5997 0.7572  2 B 1.39-1.48
O28 0.2428 0.4003 0.8738  2 B 1.39-1.48
O29 0.1633 0.9707 0.2026  1 B 1.34
O30 0.7930 0.2885 0.8202  2 B 1.40-1.41
B1 0.7368 0.7701 0.4122  3 O 1.34-1.41
B2 0.1452 0.7524 0.7847  3 O 1.34-1.40
B3 0.7524 0.7847 0.1452  3 O 1.34-1.40
B4 0.2299 0.2632 0.5878  3 O 1.34-1.41
B5 0.2476 0.8548 0.2153  3 O 1.34-1.40
B6 0.5878 0.2299 0.2632  3 O 1.34-1.41
B7 0.8548 0.2153 0.2476  3 O 1.34-1.40
B8 0.7701 0.4122 0.7368  3 O 1.34-1.41
B9 0.7506 0.2494 0.5000  4 O 1.48
B10 0.7847 0.1452 0.7524  3 O 1.34-1.40
B11 0.2153 0.2476 0.8548  3 O 1.34-1.40
B12 0.5000 0.7506 0.2494  4 O 1.48
B13 0.2632 0.5878 0.2299  3 O 1.34-1.41
B14 0.4122 0.7368 0.7701  3 O 1.34-1.41
B15 0.2494 0.5000 0.7506  4 O 1.48
K1 0.0126 0.9874 0.5000  8 O 2.76-3.09
K2 0.5000 0.5000 0.5000  6 O 2.70
K3 0.5366 0.4634 0.0000  6 O 2.75-2.85
K4 0.9874 0.5000 0.0126  8 O 2.76-3.09
K5 0.0000 0.5366 0.4634  6 O 2.75-2.85
K6 0.4634 0.0000 0.5366  6 O 2.75-2.85
K7 0.5000 0.0126 0.9874  8 O 2.76-3.09
Cd1 0.0000 0.0000 0.0000  6 O 2.33
Y1 0.2212 0.2212 0.2212  6 O 2.20-2.30
Y2 0.7789 0.7789 0.7789  6 O 2.20-2.30

Output
* symmetry: R32, No. 155
* VASP energy: -7.393 eV/atom